(1)
Material: NaCdPO2
Method: DFT, PBE-GGA
State: optimized geometry

```
data_NaCdPO2
_space_group_name_H-M_alt 'P 1'
_space_group_IT_number 1
_cell_length_a 4.157
_cell_length_b 4.157
_cell_length_c 5.331
_cell_angle_alpha 90.00
_cell_angle_beta 90.00
_cell_angle_gamma 90.00
loop_
_space_group_symop_operation_xyz
'x,y,z'
loop_
_atom_site_label
_atom_site_type_symbol
_atom_site_fract_x
_atom_site_fract_y
_atom_site_fract_z
_atom_site_occupancy
O1 O 0.500 0.000 0.000 1
O2 O 0.000 0.500 0.000 1
Na1 Na 0.000 0.000 0.000 1
P1 P 0.000 0.000 0.500 1
Cd1 Cd 0.500 0.500 0.500 1
```

Calculated values
As for the energy relative to the elements, uncorrected: 0.6137 eV/atom. The total energy comes out at -2.898 eV per atom. The polymorph energy (0 for the lowest one) is 374 meV/atom. The magnetic moment is 3.601 μB/f.u. As for the crystal system: tetragonal.

---

(2)
Material: NaCd4P3O12
Method: DFT, PBE-GGA
State: optimized geometry

```
data_NaCd4P3O12
_space_group_name_H-M_alt 'P 1'
_space_group_IT_number 1
_cell_length_a 6.785
_cell_length_b 10.310
_cell_length_c 15.280
_cell_angle_alpha 90.00
_cell_angle_beta 90.00
_cell_angle_gamma 90.00
loop_
_space_group_symop_operation_xyz
'x,y,z'
loop_
_atom_site_label
_atom_site_type_symbol
_atom_site_fract_x
_atom_site_fract_y
_atom_site_fract_z
_atom_site_occupancy
O1 O 0.600 0.287 0.983 1
O2 O 0.286 0.731 0.861 1
O3 O 0.175 0.533 0.952 1
O4 O 0.175 0.533 0.548 1
O5 O 0.083 0.646 0.164 1
O6 O 0.325 0.033 0.452 1
O7 O 0.981 0.045 0.100 1
O8 O 0.519 0.545 0.900 1
O9 O 0.981 0.045 0.400 1
O10 O 0.100 0.213 0.983 1
O11 O 0.055 0.442 0.250 1
O12 O 0.675 0.967 0.548 1
O13 O 0.417 0.146 0.836 1
O14 O 0.714 0.269 0.139 1
O15 O 0.600 0.287 0.517 1
O16 O 0.825 0.467 0.452 1
O17 O 0.019 0.955 0.600 1
O18 O 0.445 0.942 0.750 1
O19 O 0.231 0.390 0.750 1
O20 O 0.417 0.146 0.664 1
O21 O 0.900 0.787 0.017 1
O22 O 0.945 0.558 0.750 1
O23 O 0.214 0.231 0.139 1
O24 O 0.400 0.713 0.017 1
O25 O 0.583 0.854 0.164 1
O26 O 0.769 0.610 0.250 1
O27 O 0.786 0.769 0.861 1
O28 O 0.019 0.955 0.900 1
O29 O 0.481 0.455 0.100 1
O30 O 0.675 0.967 0.952 1
O31 O 0.917 0.354 0.664 1
O32 O 0.214 0.231 0.361 1
O33 O 0.900 0.787 0.483 1
O34 O 0.825 0.467 0.048 1
O35 O 0.481 0.455 0.400 1
O36 O 0.269 0.890 0.250 1
O37 O 0.325 0.033 0.048 1
O38 O 0.714 0.269 0.361 1
O39 O 0.100 0.213 0.517 1
O40 O 0.286 0.731 0.639 1
O41 O 0.786 0.769 0.639 1
O42 O 0.917 0.354 0.836 1
O43 O 0.083 0.646 0.336 1
O44 O 0.731 0.110 0.750 1
O45 O 0.400 0.713 0.483 1
O46 O 0.519 0.545 0.600 1
O47 O 0.555 0.058 0.250 1
O48 O 0.583 0.854 0.336 1
P1 P 0.848 0.867 0.933 1
P2 P 0.997 0.588 0.250 1
P3 P 0.652 0.367 0.067 1
P4 P 0.652 0.367 0.433 1
P5 P 0.348 0.633 0.567 1
P6 P 0.152 0.133 0.433 1
P7 P 0.348 0.633 0.933 1
P8 P 0.003 0.412 0.750 1
P9 P 0.503 0.088 0.750 1
P10 P 0.152 0.133 0.067 1
P11 P 0.497 0.912 0.250 1
P12 P 0.848 0.867 0.567 1
Cd1 Cd 0.840 0.159 0.890 1
Cd2 Cd 0.647 0.060 0.405 1
Cd3 Cd 0.853 0.560 0.905 1
Cd4 Cd 0.660 0.659 0.390 1
Cd5 Cd 0.647 0.060 0.095 1
Cd6 Cd 0.853 0.560 0.595 1
Cd7 Cd 0.160 0.841 0.110 1
Cd8 Cd 0.353 0.940 0.905 1
Cd9 Cd 0.147 0.440 0.095 1
Cd10 Cd 0.147 0.440 0.405 1
Cd11 Cd 0.840 0.159 0.610 1
Cd12 Cd 0.160 0.841 0.390 1
Cd13 Cd 0.660 0.659 0.110 1
Cd14 Cd 0.340 0.341 0.890 1
Cd15 Cd 0.340 0.341 0.610 1
Cd16 Cd 0.353 0.940 0.595 1
Na1 Na 0.451 0.276 0.250 1
Na2 Na 0.549 0.724 0.750 1
Na3 Na 0.951 0.224 0.250 1
Na4 Na 0.049 0.776 0.750 1
```

Calculated values
As for the energy relative to the elements, uncorrected: -1.8798 eV/atom. The total energy comes out at -5.915 eV per atom. The magnetic moment is 0.000 μB/f.u. As for the crystal system: orthorhombic.

---

(3)
Material: NaCdP2O
Method: DFT, PBE-GGA
State: optimized geometry

```
data_NaCdP2O
_space_group_name_H-M_alt 'P 1'
_space_group_IT_number 1
_cell_length_a 5.102
_cell_length_b 5.102
_cell_length_c 4.288
_cell_angle_alpha 90.00
_cell_angle_beta 90.00
_cell_angle_gamma 90.00
loop_
_space_group_symop_operation_xyz
'x,y,z'
loop_
_atom_site_label
_atom_site_type_symbol
_atom_site_fract_x
_atom_site_fract_y
_atom_site_fract_z
_atom_site_occupancy
O1 O 0.000 0.000 0.500 1
P1 P 0.000 0.500 0.000 1
P2 P 0.500 0.000 0.000 1
Na1 Na 0.500 0.500 0.500 1
Cd1 Cd 0.000 0.000 0.000 1
```

Calculated values
As for the energy relative to the elements, uncorrected: 0.5699 eV/atom. The total energy comes out at -3.032 eV per atom. The polymorph energy (0 for the lowest one) is 0 meV/atom. The magnetic moment is 1.956 μB/f.u. As for the crystal system: tetragonal.

---

(4)
Material: NaPaCdO4
Method: DFT, PBE-GGA
State: optimized geometry

```
data_NaPaCdO4
_space_group_name_H-M_alt 'P 1'
_space_group_IT_number 1
_cell_length_a 6.701
_cell_length_b 6.877
_cell_length_c 7.136
_cell_angle_alpha 121.26
_cell_angle_beta 90.00
_cell_angle_gamma 119.16
loop_
_space_group_symop_operation_xyz
'x,y,z'
loop_
_atom_site_label
_atom_site_type_symbol
_atom_site_fract_x
_atom_site_fract_y
_atom_site_fract_z
_atom_site_occupancy
Cd1 Cd 0.500 0.500 0.500 1
Cd2 Cd 0.000 0.500 0.500 1
Na1 Na 0.143 0.286 0.893 1
Na2 Na 0.857 0.714 0.107 1
O1 O 0.290 0.987 0.244 1
O2 O 0.303 0.013 0.756 1
O3 O 0.710 0.013 0.756 1
O4 O 0.697 0.987 0.244 1
O5 O 0.720 0.439 0.247 1
O6 O 0.280 0.561 0.753 1
O7 O 0.720 0.439 0.692 1
O8 O 0.280 0.561 0.308 1
Pa1 Pa 0.500 0.000 0.000 1
Pa2 Pa 0.500 0.000 0.500 1
```

Calculated values
As for the energy relative to the elements, uncorrected: -2.4496 eV/atom. The total energy comes out at -6.959 eV per atom. The magnetic moment is 0.000 μB/f.u. As for the crystal system: orthorhombic.

---

(5)
Material: Na3PaCd2O6
Method: DFT, PBE-GGA
State: optimized geometry

```
data_Na3PaCd2O6
_space_group_name_H-M_alt 'P 1'
_space_group_IT_number 1
_cell_length_a 5.856
_cell_length_b 5.856
_cell_length_c 5.970
_cell_angle_alpha 99.40
_cell_angle_beta 99.40
_cell_angle_gamma 120.00
loop_
_space_group_symop_operation_xyz
'x,y,z'
loop_
_atom_site_label
_atom_site_type_symbol
_atom_site_fract_x
_atom_site_fract_y
_atom_site_fract_z
_atom_site_occupancy
Na1 Na 0.500 0.500 0.500 1
Na2 Na 0.823 0.177 0.500 1
Na3 Na 0.177 0.823 0.500 1
O1 O 0.765 0.765 0.222 1
O2 O 0.075 0.386 0.226 1
O3 O 0.386 0.075 0.226 1
O4 O 0.614 0.925 0.774 1
O5 O 0.235 0.235 0.778 1
O6 O 0.925 0.614 0.774 1
Cd1 Cd 0.333 0.667 0.000 1
Cd2 Cd 0.667 0.333 0.000 1
Pa1 Pa 0.000 0.000 0.000 1
```

Calculated values
As for the energy relative to the elements, uncorrected: -2.0300 eV/atom. The total energy comes out at -5.783 eV per atom. The magnetic moment is 0.000 μB/f.u. As for the crystal system: monoclinic.

---

(6)
Material: Na2PaCdO4
Method: DFT, PBE-GGA
State: optimized geometry

```
data_Na2PaCdO4
_space_group_name_H-M_alt 'P 1'
_space_group_IT_number 1
_cell_length_a 3.563
_cell_length_b 6.222
_cell_length_c 5.977
_cell_angle_alpha 108.71
_cell_angle_beta 90.00
_cell_angle_gamma 90.00
loop_
_space_group_symop_operation_xyz
'x,y,z'
loop_
_atom_site_label
_atom_site_type_symbol
_atom_site_fract_x
_atom_site_fract_y
_atom_site_fract_z
_atom_site_occupancy
O1 O 0.500 0.304 0.225 1
O2 O 0.000 0.698 0.210 1
O3 O 0.500 0.696 0.775 1
O4 O 0.000 0.302 0.790 1
Na1 Na 0.000 0.500 0.500 1
Na2 Na 0.500 0.000 0.500 1
Cd1 Cd 0.000 0.000 0.000 1
Pa1 Pa 0.500 0.500 0.000 1
```

Calculated values
As for the energy relative to the elements, uncorrected: -2.1500 eV/atom. The total energy comes out at -6.260 eV per atom. The magnetic moment is 0.000 μB/f.u. As for the crystal system: monoclinic.

---

(7)
Material: NaPaCd2O6
Method: DFT, PBE-GGA
State: optimized geometry

```
data_NaPaCd2O6
_space_group_name_H-M_alt 'P 1'
_space_group_IT_number 1
_cell_length_a 5.680
_cell_length_b 7.138
_cell_length_c 7.138
_cell_angle_alpha 77.62
_cell_angle_beta 89.98
_cell_angle_gamma 89.98
loop_
_space_group_symop_operation_xyz
'x,y,z'
loop_
_atom_site_label
_atom_site_type_symbol
_atom_site_fract_x
_atom_site_fract_y
_atom_site_fract_z
_atom_site_occupancy
O1 O 0.028 0.077 0.691 1
O2 O 0.972 0.691 0.077 1
O3 O 0.472 0.309 0.923 1
O4 O 0.500 0.616 0.616 1
O5 O 0.000 0.384 0.384 1
O6 O 0.028 0.309 0.923 1
O7 O 0.472 0.077 0.691 1
O8 O 0.500 0.384 0.384 1
O9 O 0.000 0.616 0.616 1
O10 O 0.972 0.923 0.309 1
O11 O 0.528 0.923 0.309 1
O12 O 0.528 0.691 0.077 1
Na1 Na 0.750 0.046 0.954 1
Na2 Na 0.250 0.954 0.046 1
Pa1 Pa 0.250 0.348 0.652 1
Pa2 Pa 0.750 0.652 0.348 1
Cd1 Cd 0.250 0.874 0.557 1
Cd2 Cd 0.750 0.557 0.874 1
Cd3 Cd 0.750 0.126 0.443 1
Cd4 Cd 0.250 0.443 0.126 1
```

Calculated values
As for the energy relative to the elements, uncorrected: -1.7265 eV/atom. The total energy comes out at -5.966 eV per atom. The magnetic moment is 2.016 μB/f.u. As for the crystal system: orthorhombic.

---

(8)
Material: NaPa2Cd2O7
Method: DFT, PBE-GGA
State: optimized geometry

```
data_NaPa2Cd2O7
_space_group_name_H-M_alt 'P 1'
_space_group_IT_number 1
_cell_length_a 4.331
_cell_length_b 4.334
_cell_length_c 11.365
_cell_angle_alpha 100.99
_cell_angle_beta 100.98
_cell_angle_gamma 90.00
loop_
_space_group_symop_operation_xyz
'x,y,z'
loop_
_atom_site_label
_atom_site_type_symbol
_atom_site_fract_x
_atom_site_fract_y
_atom_site_fract_z
_atom_site_occupancy
O1 O 0.403 0.898 0.806 1
O2 O 0.094 0.579 0.188 1
O3 O 0.294 0.290 0.588 1
O4 O 0.906 0.391 0.812 1
O5 O 0.597 0.092 0.194 1
O6 O 0.500 0.467 0.000 1
O7 O 0.706 0.702 0.412 1
Pa1 Pa 0.599 0.596 0.198 1
Pa2 Pa 0.401 0.398 0.802 1
Na1 Na 0.000 0.094 0.000 1
Cd1 Cd 0.749 0.244 0.497 1
Cd2 Cd 0.251 0.747 0.503 1
```

Calculated values
As for the energy relative to the elements, uncorrected: -2.4970 eV/atom. The total energy comes out at -7.234 eV per atom. The magnetic moment is 0.000 μB/f.u. As for the crystal system: orthorhombic.

---

(9)
Material: Na3Cd2PbO6
Method: DFT, PBE-GGA
State: optimized geometry

```
data_Na3Cd2PbO6
_space_group_name_H-M_alt 'P 1'
_space_group_IT_number 1
_cell_length_a 5.829
_cell_length_b 5.829
_cell_length_c 5.907
_cell_angle_alpha 99.63
_cell_angle_beta 99.63
_cell_angle_gamma 119.87
loop_
_space_group_symop_operation_xyz
'x,y,z'
loop_
_atom_site_label
_atom_site_type_symbol
_atom_site_fract_x
_atom_site_fract_y
_atom_site_fract_z
_atom_site_occupancy
O1 O 0.926 0.607 0.775 1
O2 O 0.756 0.756 0.222 1
O3 O 0.607 0.926 0.775 1
O4 O 0.244 0.244 0.778 1
O5 O 0.393 0.074 0.225 1
O6 O 0.074 0.393 0.225 1
Na1 Na 0.171 0.829 0.500 1
Na2 Na 0.829 0.171 0.500 1
Na3 Na 0.500 0.500 0.500 1
Cd1 Cd 0.333 0.667 0.000 1
Cd2 Cd 0.667 0.333 0.000 1
Pb1 Pb 0.000 0.000 0.000 1
```

Calculated values
As for the energy relative to the elements, uncorrected: -1.1682 eV/atom. The total energy comes out at -4.439 eV per atom. The magnetic moment is 1.104 μB/f.u. As for the crystal system: monoclinic.